No. 1
Below is a relaxed structure of Tl2RhPb, with properties calculated at the GGA-PBE level.

The structure in extended XYZ format:
```
4
Lattice="-1.604 1.928 -2.746 -4.336 -2.495 0.781 -1.456 3.585 3.368" Properties=species:S:1:pos:R:3 pbc="T T T"
Tl 0.000 0.000 0.000
Tl -2.970 -0.283 -0.982
Rh -2.896 0.545 2.074
Pb -1.530 2.756 0.311
```

Symmetry: Pmmm (47)
Energy of formation from the pure elements: 0.3149 eV/atom
Total magnetization: 0.000 μB per atom
Crystal system: orthorhombic
ΔE to the lowest computed polymorph: 0.275 eV/atom

=====

No. 2
Below is a relaxed structure of Th4Ga3SnRh12, with properties calculated at the GGA-PBE level.

The structure in extended XYZ format:
```
20
Lattice="8.045 0.000 0.000 -2.682 7.585 0.000 -2.682 -3.792 6.569" Properties=species:S:1:pos:R:3 pbc="T T T"
Th 1.341 1.896 3.284
Th -1.341 -1.896 3.284
Th 4.022 0.000 0.000
Th -1.341 3.792 0.000
Ga 2.682 -1.896 3.284
Ga 2.682 3.792 0.000
Ga -2.682 1.896 3.284
Sn 0.000 0.000 0.000
Rh -1.341 0.948 4.927
Rh 3.978 -2.813 4.872
Rh 1.386 -0.980 1.697
Rh 4.022 2.844 1.642
Rh 3.978 5.625 0.000
Rh 1.386 1.959 0.000
Rh 4.022 0.000 3.284
Rh -1.341 3.792 3.284
Rh 1.341 -0.948 4.927
Rh -3.978 2.813 4.872
Rh 1.341 4.741 1.642
Rh -1.386 0.980 1.697
```

Symmetry: Im-3m (229)
Energy of formation from the pure elements: -0.2863 eV/atom
Total magnetization: 0.000 μB per atom
Crystal system: cubic

=====

No. 3
Below is a relaxed structure of CsBi2Pb2, with properties calculated at the GGA-PBE level.

The structure in extended XYZ format:
```
5
Lattice="5.493 0.000 0.000 0.000 5.493 0.000 2.747 2.747 6.942" Properties=species:S:1:pos:R:3 pbc="T T T"
Pb 5.493 2.747 3.471
Pb 2.747 5.493 3.471
Cs 0.000 0.000 0.000
Bi 2.747 2.747 1.680
Bi 5.493 5.493 5.261
```

Symmetry: I4/mmm (139)
Energy of formation from the pure elements: -0.2022 eV/atom
Total magnetization: 0.000 μB per atom
Crystal system: tetragonal
ΔE to the lowest computed polymorph: 0.000 eV/atom

=====

No. 4
Below is a relaxed structure of YPbF4, with properties calculated at the GGA-PBE level.

The structure in extended XYZ format:
```
12
Lattice="-2.569 -4.556 3.302 2.984 -3.235 -5.421 3.669 3.449 3.460" Properties=species:S:1:pos:R:3 pbc="T T T"
Y 4.994 -0.807 -1.765
Y -0.910 -3.534 3.106
Pb 1.367 -2.816 -1.565
Pb 2.718 -1.526 2.906
F 0.351 -2.474 4.723
F 3.361 -3.322 1.220
F 3.463 -0.391 0.084
F 1.797 0.303 4.420
F 2.288 -4.644 -3.079
F 0.622 -3.950 1.257
F 0.724 -1.019 0.121
F 3.734 -1.868 -3.383
```

Symmetry: C2/c (15)
Raw formation energy: -3122 meV per atom
Total magnetization: 0.000 μB per atom
Crystal system: monoclinic

=====

No. 5
Below is a relaxed structure of CaZr4W, with properties calculated at the GGA-PBE level.

The structure in extended XYZ format:
```
6
Lattice="0.000 4.123 4.123 4.123 0.000 4.123 4.123 4.123 0.000" Properties=species:S:1:pos:R:3 pbc="T T T"
Ca 6.185 6.185 6.185
Zr 3.071 5.176 5.176
Zr 5.176 5.176 3.071
Zr 5.176 3.071 5.176
Zr 3.071 3.071 3.071
W 0.000 0.000 0.000
```

Symmetry: F-43m (216)
Energy of formation from the pure elements: 0.7158 eV/atom
Total magnetization: 0.001 μB per atom
Crystal system: cubic

=====

No. 6
Below is a relaxed structure of BaSr2Si, with properties calculated at the GGA-PBE level.

The structure in extended XYZ format:
```
4
Lattice="-2.025 4.867 6.165 1.799 -0.929 7.855 2.154 0.863 -7.773" Properties=species:S:1:pos:R:3 pbc="T T T"
Ba 0.008 3.850 2.701
Si 1.920 0.952 3.546
Sr -0.018 0.312 1.112
Sr -0.095 1.657 5.898
```

Symmetry: Immm (71)
Raw formation energy: -132 meV per atom
Total magnetization: 0.000 μB per atom
Crystal system: orthorhombic

=====

No. 7
Below is a relaxed structure of Ba2Li3Au, with properties calculated at the GGA-PBE level.

The structure in extended XYZ format:
```
6
Lattice="4.788 0.000 0.000 0.000 4.872 0.000 0.000 0.000 8.562" Properties=species:S:1:pos:R:3 pbc="T T T"
Ba 0.000 2.436 0.206
Ba 0.000 0.000 4.110
Li 2.394 0.000 7.170
Li 2.394 0.000 1.585
Li 2.394 2.436 5.511
Au 2.394 2.436 2.823
```

Symmetry: Pmm2 (25)
Energy of formation from the pure elements: -0.2243 eV/atom
Total magnetization: 0.000 μB per atom
Crystal system: orthorhombic

=====

No. 8
Below is a relaxed structure of Nb2IrPt2, with properties calculated at the GGA-PBE level.

The structure in extended XYZ format:
```
5
Lattice="2.816 0.000 0.000 0.000 4.036 0.765 0.000 0.694 7.369" Properties=species:S:1:pos:R:3 pbc="T T T"
Nb 1.408 1.736 1.870
Nb 1.408 2.994 6.263
Ir 0.000 0.000 0.000
Pt 0.000 1.199 4.703
Pt 0.000 3.531 3.430
```

Symmetry: Cmmm (65)
Energy of formation from the pure elements: -0.5090 eV/atom
Total magnetization: 0.000 μB per atom
Crystal system: orthorhombic
ΔE to the lowest computed polymorph: 0.000 eV/atom